No. 1
## V5Cr4Rh (PBE)

Data for a geometry-optimized V5Cr4Rh structure.

Structure (extended XYZ):
```
10
Lattice="2.928 0.000 0.000 0.000 2.928 0.000 0.000 0.000 14.760" Properties=species:S:1:pos:R:3 pbc="T T T"
V 0.000 0.000 0.000
V 0.000 0.000 2.904
V 0.000 0.000 5.729
V 0.000 0.000 9.031
V 0.000 0.000 11.856
Cr 1.464 1.464 1.449
Cr 1.464 1.464 4.380
Cr 1.464 1.464 10.380
Cr 1.464 1.464 13.311
Rh 1.464 1.464 7.380
```

Values from the calculation:
Calculated formation energy (meV/atom): -162
ρ (g cm⁻³): 7.42
Space group: P4/mmm (123)


No. 2
## CaReTeN2 (PBE)

Data for a geometry-optimized CaReTeN2 structure.

Structure (extended XYZ):
```
5
Lattice="4.411 0.000 0.000 0.000 4.411 0.000 0.000 0.000 6.241" Properties=species:S:1:pos:R:3 pbc="T T T"
Ca 0.000 0.000 0.000
Re 2.206 2.206 3.121
Te 0.000 0.000 3.121
N 0.000 2.206 0.000
N 2.206 0.000 0.000
```

Values from the calculation:
ΔE_f (raw) (meV/atom): 2076.6
ρ (g cm⁻³): 5.22
Space group: P4/mmm (123)
ΔE to the lowest computed polymorph (meV/atom): 2066


No. 3
## BeTlAsAu (PBE)

Data for a geometry-optimized BeTlAsAu structure.

Structure (extended XYZ):
```
8
Lattice="3.806 0.000 0.000 0.000 3.806 0.000 0.000 0.000 12.128" Properties=species:S:1:pos:R:3 pbc="T T T"
Be 0.951 2.854 0.000
Be 2.854 0.951 0.000
Tl 0.951 0.951 3.353
Tl 2.854 2.854 8.775
As 0.951 0.951 10.780
As 2.854 2.854 1.348
Au 0.951 2.854 6.064
Au 2.854 0.951 6.064
```

Values from the calculation:
Calculated formation energy (meV/atom): -27
ρ (g cm⁻³): 9.18
Space group: P4/nmm (129)


No. 4
## NdDy4Tm2Sc (PBE)

Data for a geometry-optimized NdDy4Tm2Sc structure.

Structure (extended XYZ):
```
16
Lattice="6.695 -6.542 0.000 6.695 6.542 0.000 -3.369 0.000 5.812" Properties=species:S:1:pos:R:3 pbc="T T T"
Nd 0.000 0.000 0.000
Nd -1.685 0.000 2.906
Dy 1.684 0.089 2.924
Dy 4.987 3.223 2.939
Dy 3.350 3.223 5.780
Dy 3.368 -0.089 0.018
Dy 6.653 0.089 5.794
Dy 6.672 -3.223 0.032
Dy 5.034 -3.223 2.874
Dy 8.338 -0.089 2.888
Tm 3.348 3.271 0.000
Tm 1.663 -3.271 2.906
Tm 6.695 0.000 0.000
Tm 5.011 0.000 2.906
Sc 1.663 3.271 2.906
Sc 3.348 -3.271 0.000
```

Values from the calculation:
Calculated formation energy (meV/atom): 442
ρ (g cm⁻³): 7.68
Space group: C2/c (15)


No. 5
## HoSi2Os (PBE)

Data for a geometry-optimized HoSi2Os structure.

Structure (extended XYZ):
```
4
Lattice="1.544 0.891 8.475 -1.544 0.891 8.475 0.000 -1.783 8.475" Properties=species:S:1:pos:R:3 pbc="T T T"
Ho 0.000 0.000 0.000
Si 0.000 0.000 5.996
Si 0.000 0.000 19.429
Os 0.000 0.000 12.713
```

Values from the calculation:
ΔE_f (raw) (meV/atom): -12.9
ρ (g cm⁻³): 9.76
Space group: R-3m (166)


No. 6
## Sm2Y3Al3 (PBE)

Data for a geometry-optimized Sm2Y3Al3 structure.

Structure (extended XYZ):
```
8
Lattice="-1.855 2.578 10.939 1.855 -2.578 10.939 1.855 2.578 -10.939" Properties=species:S:1:pos:R:3 pbc="T T T"
Sm 0.000 0.000 5.016
Sm 0.000 0.000 16.861
Y 0.000 0.000 0.000
Y 1.855 0.000 8.361
Y 0.000 2.578 2.578
Al 1.855 0.000 2.500
Al 0.000 0.000 10.939
Al 0.000 2.578 8.439
```

Values from the calculation:
Calculated formation energy (meV/atom): -298
ρ (g cm⁻³): 5.15
Space group: Immm (71)